# 1
Here is an optimized crystal structure of PdPt3O6 from Alexandria. Energies are from PBE.

```
data_PdPt3O6
_chemical_formula_sum 'Pd3 Pt9 O18'
_symmetry_space_group_name_H-M 'R 3'
_symmetry_Int_Tables_number 146
_symmetry_space_group_name_Hall 'R 3'
_cell_length_a 5.3912
_cell_length_b 5.3912
_cell_length_c 14.6241
_cell_angle_alpha 90.00
_cell_angle_beta 90.00
_cell_angle_gamma 120.00
loop_
_atom_site_label
_atom_site_fract_x
_atom_site_fract_y
_atom_site_fract_z
Pd1 0.0000 0.0000 0.0000
Pt1 0.0000 0.0000 0.2005
Pt2 0.0000 0.0000 0.5099
Pt3 0.0000 0.0000 0.7078
O1 0.0020 0.6903 0.1100
O2 0.0454 0.3632 0.2686
```

# 2
Here is an optimized crystal structure of Pd2PtO6 from Alexandria. Energies are from PBE.

```
data_Pd2PtO6
_chemical_formula_sum 'Pd4 Pt2 O12'
_symmetry_space_group_name_H-M 'C 1 2/m 1'
_symmetry_Int_Tables_number 12
_cell_length_a 13.370
_cell_length_b 3.128
_cell_length_c 6.094
_cell_angle_alpha 90.00
_cell_angle_beta 101.29
_cell_angle_gamma 90.00
loop_
_symmetry_equiv_pos_as_xyz
'x,y,z'
'-x,-y,-z'
'-x,y,-z'
'x,-y,z'
'x+1/2,y+1/2,z'
'-x+1/2,-y+1/2,-z'
'-x+1/2,y+1/2,-z'
'x+1/2,-y+1/2,z'
loop_
_atom_site_label
_atom_site_fract_x
_atom_site_fract_y
_atom_site_fract_z
Pd1 0.167 0.000 0.335
Pt1 0.000 0.500 0.000
O1 0.012 0.000 0.221
O2 0.155 0.500 0.113
O3 0.178 0.500 0.555
```

# 3
Here is an optimized crystal structure of Pd2PtO4 from Alexandria. Energies are from PBE.

```
data_Pd2PtO4
_chemical_formula_sum 'Pd4 Pt2 O8'
_symmetry_space_group_name_H-M 'C 1 2/m 1'
_symmetry_Int_Tables_number 12
_cell_length_a 12.299
_cell_length_b 3.205
_cell_length_c 4.495
_cell_angle_alpha 90.00
_cell_angle_beta 110.42
_cell_angle_gamma 90.00
loop_
_symmetry_equiv_pos_as_xyz
'x,y,z'
'-x,-y,-z'
'-x,y,-z'
'x,-y,z'
'x+1/2,y+1/2,z'
'-x+1/2,-y+1/2,-z'
'-x+1/2,y+1/2,-z'
'x+1/2,-y+1/2,z'
loop_
_atom_site_label
_atom_site_fract_x
_atom_site_fract_y
_atom_site_fract_z
Pd1 0.206 0.000 0.156
Pt1 0.000 0.500 0.500
O1 0.054 0.000 0.794
O2 0.154 0.500 0.428
```

# 4
Here is an optimized crystal structure of PdPtO2 from Alexandria. Energies are from PBE.

```
data_PdPtO2
_chemical_formula_sum 'Pd1 Pt1 O2'
_symmetry_space_group_name_H-M 'P m m m'
_symmetry_Int_Tables_number 47
_cell_length_a 3.082
_cell_length_b 3.146
_cell_length_c 5.449
_cell_angle_alpha 90.00
_cell_angle_beta 90.00
_cell_angle_gamma 90.00
loop_
_symmetry_equiv_pos_as_xyz
'x,y,z'
'-x,-y,-z'
'-x,-y,z'
'x,y,-z'
'x,-y,-z'
'-x,y,z'
'-x,y,-z'
'x,-y,z'
loop_
_atom_site_label
_atom_site_fract_x
_atom_site_fract_y
_atom_site_fract_z
Pd1 0.000 0.000 0.000
Pt1 0.500 0.500 0.500
O1 0.500 0.000 0.258
```

Taking the records one at a time from the top gives DFT total energy values of -54.76, -49.52, -38.92, -22.62 eV/f.u..
Taking the records one at a time from the top gives ΔE_f (raw) values of -0.169, -0.372, -0.380, -0.367 eV per atom.
Taking the records one at a time from the top gives density values of 10.66, 6.70, 9.44, 10.48 g/cm³.